[1]
Entry from the Alexandria database: AlRe2As at its PBEsol-relaxed geometry (meta-GGA SCAN).

a = 2.978 Å, b = 4.788 Å, c = 5.033 Å
α = 118.40°, β = 107.21°, γ = 90.00°
Fractional coordinates of all 4 atoms:
1 As 0.500 0.000 0.000
2 Re 0.770 0.770 0.540
3 Al 0.000 0.500 0.000
4 Re 0.230 0.230 0.460

Output
* offset from the most stable computed form: 0.139 eV/atom
* energy of formation: 0.27 eV per atom
* density: 13.2 g cm⁻³


[2]
Entry from the Alexandria database: Al3ReAs at its PBEsol-relaxed geometry (meta-GGA SCAN).

a = 4.738 Å, b = 4.738 Å, c = 4.738 Å
α = 90.00°, β = 90.00°, γ = 90.00°
Fractional coordinates of all 5 atoms:
1 Al 0.500 0.000 0.000
2 Re 0.000 0.000 0.000
3 As 0.500 0.500 0.500
4 Al 0.000 0.500 0.000
5 Al 0.000 0.000 0.500

Output
* energy of formation: 0.65 eV per atom
* density: 5.3 g cm⁻³


[3]
Entry from the Alexandria database: AlReAsSe2 at its PBEsol-relaxed geometry (meta-GGA SCAN).

a = 4.761 Å, b = 4.895 Å, c = 4.895 Å
α = 90.00°, β = 90.00°, γ = 90.00°
Fractional coordinates of all 5 atoms:
1 Al 0.500 0.500 0.500
2 Se 0.000 0.000 0.500
3 Se 0.000 0.500 0.000
4 Re 0.000 0.000 0.000
5 As 0.500 0.000 0.000

Output
* uncorrected formation energy: 0.67 eV/atom
* density: 6.5 g cm⁻³


[4]
Entry from the Alexandria database: Al2AsRh at its PBEsol-relaxed geometry (meta-GGA SCAN).

a = 3.436 Å, b = 3.999 Å, c = 4.864 Å
α = 90.00°, β = 110.68°, γ = 90.00°
Fractional coordinates of all 4 atoms:
1 As 0.834 0.000 0.668
2 Al 0.396 0.500 0.791
3 Rh 0.671 0.500 0.342
4 Al 0.105 0.000 0.211

Output
* energy of formation: -0.52 eV per atom
* density: 6.2 g cm⁻³


[5]
Entry from the Alexandria database: Al2AsRh at its PBEsol-relaxed geometry (meta-GGA SCAN).

a = 3.249 Å, b = 3.299 Å, c = 5.491 Å
α = 90.00°, β = 90.00°, γ = 90.00°
Fractional coordinates of all 4 atoms:
1 Al 0.000 0.000 0.745
2 Al 0.000 0.000 0.255
3 As 0.500 0.500 0.000
4 Rh 0.500 0.500 0.500

Output
* energy of formation: -0.48 eV per atom
* density: 6.5 g cm⁻³


[6]
Entry from the Alexandria database: AlAsRh2 at its PBEsol-relaxed geometry (meta-GGA SCAN).

a = 3.290 Å, b = 3.627 Å, c = 5.478 Å
α = 109.33°, β = 107.47°, γ = 90.00°
Fractional coordinates of all 4 atoms:
1 Al 0.466 0.466 0.932
2 Rh 0.037 0.037 0.073
3 As 0.718 0.218 0.436
4 Rh 0.280 0.780 0.559

Output
* energy of formation: -0.67 eV per atom
* density: 8.7 g cm⁻³


[7]
Entry from the Alexandria database: Al2AsRh at its PBEsol-relaxed geometry (meta-GGA SCAN).

a = 2.897 Å, b = 4.540 Å, c = 5.050 Å
α = 104.29°, β = 106.67°, γ = 90.00°
Fractional coordinates of all 4 atoms:
1 Al 0.970 0.932 0.940
2 As 0.533 0.476 0.066
3 Rh 0.237 0.806 0.474
4 Al 0.760 0.286 0.519

Output
* energy of formation: -0.45 eV per atom
* density: 6.3 g cm⁻³


[8]
Entry from the Alexandria database: AlAs2RhSe at its PBEsol-relaxed geometry (meta-GGA SCAN).

a = 4.613 Å, b = 4.613 Å, c = 5.215 Å
α = 90.00°, β = 90.00°, γ = 90.00°
Fractional coordinates of all 5 atoms:
1 Se 0.000 0.000 0.500
2 Rh 0.000 0.000 0.000
3 As 0.500 0.000 0.000
4 As 0.000 0.500 0.000
5 Al 0.500 0.500 0.500

Output
* uncorrected formation energy: 0.45 eV/atom
* density: 5.4 g cm⁻³